No. 1
Material: Sc2Be2SnRu5
Method: DFT, PBE
State: optimized geometry

a b c (Å): 9.4980 9.4980 3.2557
angles (deg): 90.00 90.00 90.00
Last column: nearest neighbours and their distance in Å.
Sites, in units of the cell vectors:
1 Sc 0.1744 0.3256 0.0000  3 Be 2.74-2.86, 10 Ru 2.85-3.03
2 Sc 0.3256 0.8256 0.0000  3 Be 2.74-2.86, 10 Ru 2.85-3.03
3 Sc 0.6744 0.1744 0.0000  3 Be 2.74-2.86, 10 Ru 2.85-3.03
4 Sc 0.8256 0.6744 0.0000  3 Be 2.74-2.86, 10 Ru 2.85-3.03
5 Be 0.1219 0.6219 0.0000  6 Ru 2.29-2.31
6 Be 0.3781 0.1219 0.0000  6 Ru 2.29-2.31
7 Be 0.6219 0.8781 0.0000  6 Ru 2.29-2.31
8 Be 0.8781 0.3781 0.0000  6 Ru 2.29-2.31
9 Sn 0.0000 0.0000 0.0000  8 Ru 2.71
10 Sn 0.5000 0.5000 0.0000  8 Ru 2.71
11 Ru 0.0000 0.5000 0.5000  4 Be 2.31
12 Ru 0.0711 0.7838 0.5000  2 Be 2.29
13 Ru 0.2162 0.0711 0.5000  2 Be 2.29
14 Ru 0.2838 0.5711 0.5000  2 Be 2.29
15 Ru 0.4289 0.2838 0.5000  2 Be 2.29
16 Ru 0.5000 0.0000 0.5000  4 Be 2.31
17 Ru 0.5711 0.7162 0.5000  2 Be 2.29
18 Ru 0.7162 0.4289 0.5000  2 Be 2.29
19 Ru 0.7838 0.9289 0.5000  2 Be 2.29
20 Ru 0.9289 0.2162 0.5000  2 Be 2.29

Summary:
Symmetry: P4/mbm (127)
Total moment, Bohr magnetons per cell: 0.001
Fermi-level density of states, states/eV per atom: 1.260
Calculated total energy, eV per atom: -7.400
Formation energy from the elements, eV/atom: -0.350

No. 2
Material: Sc2TaBe2Ru5
Method: DFT, PBE
State: optimized geometry

a b c (Å): 9.4907 9.4907 3.1990
angles (deg): 90.00 90.00 90.00
Last column: nearest neighbours and their distance in Å.
Sites, in units of the cell vectors:
1 Sc 0.1736 0.3264 0.0000  3 Be 2.74-2.85, 10 Ru 2.83-3.02
2 Sc 0.3264 0.8264 0.0000  3 Be 2.74-2.85, 10 Ru 2.83-3.02
3 Sc 0.6736 0.1736 0.0000  3 Be 2.74-2.85, 10 Ru 2.83-3.02
4 Sc 0.8264 0.6736 0.0000  3 Be 2.74-2.85, 10 Ru 2.83-3.02
5 Ta 0.0000 0.0000 0.0000  8 Ru 2.65
6 Ta 0.5000 0.5000 0.0000  8 Ru 2.65
7 Be 0.1222 0.6222 0.0000  6 Ru 2.29-2.31
8 Be 0.3778 0.1222 0.0000  6 Ru 2.29-2.31
9 Be 0.6222 0.8778 0.0000  6 Ru 2.29-2.31
10 Be 0.8778 0.3778 0.0000  6 Ru 2.29-2.31
11 Ru 0.0000 0.5000 0.5000  4 Be 2.29
12 Ru 0.0702 0.7893 0.5000  2 Be 2.31
13 Ru 0.2107 0.0702 0.5000  2 Be 2.31
14 Ru 0.2893 0.5702 0.5000  2 Be 2.31
15 Ru 0.4298 0.2893 0.5000  2 Be 2.31
16 Ru 0.5000 0.0000 0.5000  4 Be 2.29
17 Ru 0.5702 0.7107 0.5000  2 Be 2.31
18 Ru 0.7107 0.4298 0.5000  2 Be 2.31
19 Ru 0.7893 0.9298 0.5000  2 Be 2.31
20 Ru 0.9298 0.2107 0.5000  2 Be 2.31

Summary:
Symmetry: P4/mbm (127)
Total moment, Bohr magnetons per cell: 0.000
Fermi-level density of states, states/eV per atom: 0.800
Calculated total energy, eV per atom: -8.287
Formation energy from the elements, eV/atom: -0.452